No. 1
Here is Co2NiRh at its PBEsol-relaxed geometry from the Alexandria database. Energies are from SCAN.

POSCAR file:
```
Co2NiRh
1.0
2.539 0.000 0.000
0.000 2.539 0.000
0.000 0.000 7.043
Co Ni Rh
2 1 1
Direct
0.000 0.000 0.238
0.000 0.000 0.762
0.500 0.500 0.000
0.500 0.500 0.500
```

The calculation puts the energy relative to the elements at 0.033 eV/atom.

No. 2
Here is Co2NiRh at its PBEsol-relaxed geometry from the Alexandria database. Energies are from SCAN.

POSCAR file:
```
Co2NiRh
1.0
8.333 0.000 0.000
0.000 2.548 0.000
-0.818 0.000 4.275
Co Ni Rh
4 2 2
Direct
0.000 0.000 0.000
0.245 0.500 0.240
0.500 0.500 0.000
0.745 0.000 0.240
0.251 0.000 0.761
0.751 0.500 0.761
0.497 0.000 0.497
0.997 0.500 0.497
```

The calculation puts the energy relative to the elements at 0.039 eV/atom.

No. 3
Here is Co2NiRh at its PBEsol-relaxed geometry from the Alexandria database. Energies are from SCAN.

POSCAR file:
```
Co2NiRh
1.0
8.360 0.000 0.000
0.000 2.555 0.000
-0.792 0.000 4.257
Co Ni Rh
4 2 2
Direct
0.248 0.000 0.241
0.252 0.500 0.759
0.748 0.500 0.241
0.752 0.000 0.759
0.000 0.500 0.000
0.500 0.000 0.000
0.000 0.000 0.500
0.500 0.500 0.500
```

The calculation puts the energy relative to the elements at 0.048 eV/atom.

No. 4
Here is Co2NiRh at its PBEsol-relaxed geometry from the Alexandria database. Energies are from SCAN.

POSCAR file:
```
Co2NiRh
1.0
3.577 0.000 0.000
0.000 3.577 0.000
0.000 0.000 7.091
Co Ni Rh
4 2 2
Direct
0.000 0.000 0.000
0.000 0.500 0.250
0.500 0.000 0.750
0.500 0.500 0.500
0.000 0.500 0.750
0.500 0.000 0.250
0.000 0.000 0.500
0.500 0.500 0.000
```

The calculation puts the energy relative to the elements at -0.007 eV/atom.

No. 5
Here is CoNiRh at its PBEsol-relaxed geometry from the Alexandria database. Energies are from SCAN.

POSCAR file:
```
CoNiRh
1.0
2.570 0.000 0.000
-1.285 2.226 0.000
0.000 0.000 6.152
Co Ni Rh
1 1 1
Direct
0.000 0.000 0.000
0.333 0.667 0.685
0.667 0.333 0.338
```

The calculation puts the energy above the most stable polymorph in this dataset at 22 meV/atom. The calculation puts the energy relative to the elements at 0.056 eV/atom.

No. 6
Here is CoNi6Rh at its PBEsol-relaxed geometry from the Alexandria database. Energies are from SCAN.

POSCAR file:
```
CoNi6Rh
1.0
3.510 -4.973 0.000
3.510 4.973 0.000
0.000 0.000 9.945
Co Ni Rh
4 24 4
Direct
0.000 0.000 0.248
0.000 0.000 0.752
0.251 0.749 0.000
0.749 0.251 0.000
0.000 0.000 0.000
0.000 0.000 0.500
0.119 0.372 0.122
0.119 0.372 0.878
0.121 0.369 0.371
0.121 0.369 0.629
0.247 0.753 0.245
0.247 0.753 0.755
0.369 0.121 0.371
0.369 0.121 0.629
0.372 0.119 0.122
0.372 0.119 0.878
0.500 0.500 0.000
0.500 0.500 0.500
0.628 0.881 0.122
0.628 0.881 0.878
0.631 0.879 0.371
0.631 0.879 0.629
0.753 0.247 0.245
0.753 0.247 0.755
0.879 0.631 0.371
0.879 0.631 0.629
0.881 0.628 0.122
0.881 0.628 0.878
0.252 0.748 0.500
0.500 0.500 0.248
0.500 0.500 0.752
0.748 0.252 0.500
```

The calculation puts the energy relative to the elements at 0.019 eV/atom.

No. 7
Here is Co2NiRh at its PBEsol-relaxed geometry from the Alexandria database. Energies are from SCAN.

POSCAR file:
```
Co2NiRh
1.0
2.545 0.000 0.000
0.000 3.535 0.000
0.000 0.000 5.046
Co Ni Rh
2 1 1
Direct
0.000 0.000 0.236
0.000 0.000 0.764
0.500 0.500 0.000
0.500 0.500 0.500
```

The calculation puts the energy relative to the elements at 0.023 eV/atom.

No. 8
Here is CoNiRh at its PBEsol-relaxed geometry from the Alexandria database. Energies are from SCAN.

POSCAR file:
```
CoNiRh
1.0
4.005 0.000 0.000
-2.002 3.468 0.000
0.000 0.000 2.534
Co Ni Rh
1 1 1
Direct
0.000 0.000 0.000
0.667 0.333 0.000
0.333 0.667 0.500
```

The calculation puts the energy above the most stable polymorph in this dataset at 31 meV/atom. The calculation puts the energy relative to the elements at 0.064 eV/atom.

No. 9
Here is Co2NiRh at its PBEsol-relaxed geometry from the Alexandria database. Energies are from SCAN.

POSCAR file:
```
Co2NiRh
1.0
2.547 0.000 0.000
0.000 2.547 0.000
0.000 0.000 6.990
Co Ni Rh
2 1 1
Direct
0.000 0.000 0.000
0.500 0.500 0.232
0.000 0.000 0.471
0.500 0.500 0.737
```

The calculation puts the energy relative to the elements at 0.044 eV/atom.

No. 10
Here is CoNiRh at its PBEsol-relaxed geometry from the Alexandria database. Energies are from SCAN.

POSCAR file:
```
CoNiRh
1.0
2.948 0.000 0.000
0.000 2.948 0.000
0.000 0.000 8.080
Co Ni Rh
2 2 2
Direct
0.000 0.000 0.000
0.500 0.500 0.500
0.000 0.000 0.645
0.500 0.500 0.145
0.000 0.000 0.322
0.500 0.500 0.822
```

The calculation puts the energy above the most stable polymorph in this dataset at 12 meV/atom. The calculation puts the energy relative to the elements at 0.046 eV/atom.

No. 11
Here is CoNiRh3 at its PBEsol-relaxed geometry from the Alexandria database. Energies are from SCAN.

POSCAR file:
```
CoNiRh3
1.0
4.337 0.000 0.000
0.000 4.337 0.000
0.000 0.000 4.337
Co Ni Rh
1 1 3
Direct
0.000 0.000 0.000
0.500 0.500 0.500
0.000 0.500 0.500
0.500 0.000 0.500
0.500 0.500 0.000
```

The calculation puts the energy relative to the elements at 1.301 eV/atom.

No. 12
Here is CoNiRh at its PBEsol-relaxed geometry from the Alexandria database. Energies are from SCAN.

POSCAR file:
```
CoNiRh
1.0
2.568 0.000 0.000
0.000 3.543 0.000
0.000 0.000 7.647
Co Ni Rh
2 2 2
Direct
0.000 0.000 0.000
0.500 0.500 0.500
0.000 0.000 0.661
0.500 0.500 0.161
0.000 0.000 0.332
0.500 0.500 0.832
```

The calculation puts the energy above the most stable polymorph in this dataset at 0 meV/atom. The calculation puts the energy relative to the elements at 0.034 eV/atom.